1.
8
Lattice="4.9459 0.0000 0.0000 0.0000 4.9459 0.0000 2.4730 2.4730 5.0449" Properties=species:S:1:pos:R:3 comment="PBE-GGA MnBOs2, optimized geometry" ef_ev_per_fu=3.55 magnetic_moment_mub_per_cell=0.000 pbc="T T T"
Mn 0.0000 0.0000 0.0000
Os 3.5128 1.2365 1.2612
Mn 4.9459 2.4730 2.5224
Os 1.4331 3.7094 1.2612
Os 6.1824 5.9858 3.7836
Os 3.7094 3.9061 3.7836
B 2.4730 2.4730 0.0000
B 2.4730 4.9459 2.5224

***

2.
10
Lattice="6.2325 0.0000 0.0000 0.0000 6.2325 0.0000 0.0000 0.0000 2.5280" Properties=species:S:1:pos:R:3 comment="PBE-GGA Mn2B2Os, optimized geometry" relative_energy_mev_per_atom=652 ef_ev_per_fu=2.31 magnetic_moment_mub_per_cell=0.006 pbc="T T T"
Os 3.1163 3.1163 0.0000
B 1.0704 4.1867 1.2640
B 4.1867 5.1621 1.2640
Mn 3.8889 0.7726 0.0000
Os 0.0000 0.0000 0.0000
B 2.0458 1.0704 1.2640
Mn 0.7726 2.3436 0.0000
B 5.1621 2.0458 1.2640
Mn 2.3436 5.4599 0.0000
Mn 5.4599 3.8889 0.0000

***

3.
5
Lattice="3.6930 0.0000 0.0000 0.0000 3.6930 0.0000 0.0000 0.0000 3.6930" Properties=species:S:1:pos:R:3 comment="PBE-GGA MnB3Os, optimized geometry" relative_energy_mev_per_atom=0 ef_ev_per_fu=6.37 magnetic_moment_mub_per_cell=0.556 pbc="T T T"
B 0.0000 1.8465 0.0000
B 1.8465 0.0000 0.0000
B 0.0000 0.0000 1.8465
Mn 0.0000 0.0000 0.0000
Os 1.8465 1.8465 1.8465

***

4.
10
Lattice="5.7993 0.0000 0.0000 0.0000 5.7993 0.0000 0.0000 0.0000 2.7821" Properties=species:S:1:pos:R:3 comment="PBE-GGA Mn2B2Os, optimized geometry" relative_energy_mev_per_atom=0 ef_ev_per_fu=-0.95 magnetic_moment_mub_per_cell=1.265 pbc="T T T"
Mn 0.9197 3.8193 1.3910
B 2.2017 5.1013 0.0000
B 3.5976 0.6980 0.0000
B 5.1013 3.5976 0.0000
Mn 4.8796 1.9800 1.3910
Os 0.0000 0.0000 0.0000
Mn 1.9800 0.9197 1.3910
Os 2.8996 2.8996 0.0000
Mn 3.8193 4.8796 1.3910
B 0.6980 2.2017 0.0000

***

5.
8
Lattice="-2.7830 0.2541 -3.6404 0.0483 -4.5753 -0.3562 -5.0834 -2.4196 0.8244" Properties=species:S:1:pos:R:3 comment="PBE-GGA MnB2Os, optimized geometry" relative_energy_mev_per_atom=682 ef_ev_per_fu=3.30 magnetic_moment_mub_per_cell=0.350 pbc="T T T"
B -1.6077 -3.4310 -0.4966
Os -4.6169 -2.1631 -2.4072
B -6.2057 -5.5643 -2.8763
Os 0.0000 0.0000 0.0000
B -4.8377 -3.4667 -0.8829
Mn -1.3674 -2.1606 -1.9983
B -2.9851 -1.0198 -2.0887
Mn -3.2012 -4.5778 -0.7651

***

6.
8
Lattice="3.2948 0.0000 0.0000 0.0000 3.2948 0.0000 1.6474 1.6474 8.2906" Properties=species:S:1:pos:R:3 comment="PBE-GGA Mn2BOs, optimized geometry" ef_ev_per_fu=2.02 magnetic_moment_mub_per_cell=0.000 pbc="T T T"
Mn 2.4711 2.6591 6.2179
Mn 2.2831 0.8237 2.0726
Mn 4.1185 3.9305 6.2179
Os 3.2948 1.6474 4.1453
Os 0.0000 0.0000 0.0000
Mn 1.0117 2.4711 2.0726
B 1.6474 1.6474 0.0000
B 1.6474 3.2948 4.1453